P) First-principles (PBE) data for a geometry-optimized TbErTh structure, as listed in Alexandria via LeMat-Bulk.

Results
Symmetry: I4mm
Calculated volume, A^3/atom: 31.74
D(E_F), states/eV/f.u.: 4.30

Lattice parameters (Å, degrees): 3.572 3.572 7.881 103.10 103.10 90.00
Atoms (fractional coordinates):
Th (0.333, 0.333, 0.665)
Er (0.672, 0.672, 0.344)
Tb (0.995, 0.995, 0.990)


Q) First-principles (PBE) data for a geometry-optimized TbErTh structure, as listed in Alexandria via LeMat-Bulk.

Results
Symmetry: P6_3mc
Calculated volume, A^3/atom: 32.16
D(E_F), states/eV/f.u.: 4.35

Lattice parameters (Å, degrees): 3.477 3.477 18.434 90.00 90.00 120.00
Atoms (fractional coordinates):
Er (0.000, 0.000, 0.498)
Th (0.667, 0.333, 0.659)
Er (0.000, 0.000, 0.998)
Th (0.333, 0.667, 0.159)
Tb (0.667, 0.333, 0.843)
Tb (0.333, 0.667, 0.343)


Energetically preferred structure: P) | next structure: +11.2 kJ/mol of atoms


P) First-principles (PBE) data for a geometry-optimized TbErTh structure, as listed in Alexandria via LeMat-Bulk.

Results
Symmetry: P-1
Calculated volume, A^3/atom: 31.49
D(E_F), states/eV/f.u.: 4.00

Lattice parameters (Å, degrees): 10.044 7.076 12.709 46.39 141.74 134.63
Atoms (fractional coordinates):
Er (0.245, 0.917, 0.160)
Er (0.745, 0.417, 0.160)
Er (0.255, 0.583, 0.840)
Tb (0.750, 0.250, 0.500)
Th (0.749, 0.921, 0.165)
Tb (0.250, 0.750, 0.500)
Th (0.249, 0.421, 0.165)
Th (0.751, 0.579, 0.835)
Er (0.755, 0.083, 0.840)
Th (0.251, 0.079, 0.835)
Tb (0.250, 0.250, 0.500)
Tb (0.750, 0.750, 0.500)


Q) First-principles (PBE) data for a geometry-optimized TbErTh structure, as listed in Alexandria via LeMat-Bulk.

Results
Symmetry: R-3m
Calculated volume, A^3/atom: 31.74
D(E_F), states/eV/f.u.: 4.85

Lattice parameters (Å, degrees): 3.572 3.572 17.351 90.02 95.90 119.97
Atoms (fractional coordinates):
Th (0.278, 0.140, 0.417)
Th (0.722, 0.860, 0.583)
Er (0.833, 0.418, 0.251)
Er (0.167, 0.582, 0.749)
Tb (0.389, 0.694, 0.083)
Tb (0.611, 0.306, 0.917)


Energetically preferred structure: Q) | next structure: +0.6 kJ/mol of atoms


P) First-principles (PBE) data for a geometry-optimized Tb2Er4Th structure, as listed in Alexandria via LeMat-Bulk.

Results
Symmetry: R-3m
Calculated volume, A^3/atom: 31.84
D(E_F), states/eV/f.u.: 10.76

Lattice parameters (Å, degrees): 3.526 3.526 20.799 85.14 85.14 60.00
Atoms (fractional coordinates):
Th (0.000, 0.000, 0.000)
Tb (0.766, 0.766, 0.703)
Er (0.711, 0.711, 0.867)
Er (0.856, 0.856, 0.431)
Er (0.144, 0.144, 0.569)
Tb (0.234, 0.234, 0.297)
Er (0.289, 0.289, 0.133)


Q) First-principles (PBE) data for a geometry-optimized Tb2Er4Th structure, as listed in Alexandria via LeMat-Bulk.

Results
Symmetry: Cm
Calculated volume, A^3/atom: 31.44
D(E_F), states/eV/f.u.: 11.82

Lattice parameters (Å, degrees): 3.574 3.573 20.012 95.16 90.00 120.01
Atoms (fractional coordinates):
Er (0.524, 0.049, 0.812)
Er (0.428, 0.856, 0.523)
Er (0.001, 0.001, 0.237)
Tb (0.714, 0.427, 0.380)
Tb (0.620, 0.240, 0.095)
Th (0.809, 0.618, 0.668)
Er (0.906, 0.811, 0.953)


Energetically preferred structure: Q) | next structure: +6.4 kJ/mol of atoms